[1]
A relaxed SrBi2PdO6 crystal, computed with PBE.

As for the uncorrected formation energy: -1256 meV/atom.

It has space group P1 (No. 1), with a = 5.940 Å, b = 5.946 Å, c = 6.123 Å, α = 90.02°, β = 119.00° and γ = 119.96°. The asymmetric unit holds Sr at (0.000, 0.000, 0.000), Bi at (0.436, 0.218, 0.653), Bi at (0.456, 0.728, 0.185), Pd at (0.044, 0.522, 0.565), O at (0.185, 0.783, 0.356), O at (0.208, 0.863, 0.822), O at (0.478, 0.614, 0.821), O at (0.573, 0.401, 0.356), O at (0.954, 0.171, 0.356) and O at (0.959, 0.345, 0.822).



[2]
A relaxed Co2Ni4Ir3 crystal, computed with PBE.

The density of states at the Fermi level comes out at 25.71 states/eV/cell. For the calculated formation energy, the calculation gives 18 meV/atom.

It has space group P-1 (No. 2), with a = 4.493 Å, b = 6.670 Å, c = 8.056 Å, α = 107.07°, β = 105.97° and γ = 90.22°. The asymmetric unit holds Co at (0.109, 0.362, 0.388), Co at (0.333, 0.917, 0.834), Ni at (0.001, 0.416, 0.835), Ni at (0.225, 0.976, 0.279), Ni at (0.333, 0.750, 0.500), Ni at (0.443, 0.695, 0.057), Ir at (0.109, 0.196, 0.054), Ir at (0.225, 0.137, 0.614) and Ir at (0.441, 0.529, 0.719).



[3]
A relaxed ScPdSe2 crystal, computed with PBE.

Its offset from the most stable computed form is 581 meV/atom. The density of states at the Fermi level comes out at 11.71 states/eV/cell. As for the uncorrected formation energy: -306 meV/atom.

It has space group R-3m (No. 166, hexagonal axes), with a = 3.7397 Å, b = 3.7397 Å, c = 23.9429 Å, α = 90.00°, β = 90.00° and γ = 120.00°. The asymmetric unit holds Sc at (0.0000, 0.0000, 0.0000), Pd at (0.0000, 0.0000, 0.5000) and Se at (0.0000, 0.0000, 0.1085).



[4]
A relaxed Y5Bi4C crystal, computed with PBE.

The density of states at the Fermi level comes out at 6.92 states/eV/cell. For the calculated formation energy, the calculation gives -649 meV/atom.

It has space group I4 (No. 79), with a = 9.585 Å, b = 9.585 Å, c = 6.264 Å, α = 90.00°, β = 90.00° and γ = 90.00°. The asymmetric unit holds Y at (0.000, 0.000, 0.000), Y at (0.095, 0.246, 0.433), Bi at (0.081, 0.313, 0.930) and C at (0.000, 0.000, 0.384).



[5]
A relaxed ReTcNF2 crystal, computed with PBE.

Its offset from the most stable computed form is 0 meV/atom. The density of states at the Fermi level comes out at 3.62 states/eV/cell. As for the uncorrected formation energy: 258 meV/atom.

It has space group P4/mmm (No. 123), with a = 4.255 Å, b = 4.255 Å, c = 3.835 Å, α = 90.00°, β = 90.00° and γ = 90.00°. The asymmetric unit holds Re at (0.000, 0.000, 0.000), Tc at (0.500, 0.500, 0.500), N at (0.000, 0.000, 0.500) and F at (0.000, 0.500, 0.000).



[6]
A relaxed Li2CoPt crystal, computed with PBE.

Its offset from the most stable computed form is 23 meV/atom. The density of states at the Fermi level comes out at 3.32 states/eV/cell. For the calculated formation energy, the calculation gives -222 meV/atom.

It has space group Pmm2 (No. 25), with a = 2.738 Å, b = 4.352 Å, c = 4.330 Å, α = 90.00°, β = 90.00° and γ = 90.00°. The asymmetric unit holds Li at (0.000, 0.000, 0.000), Li at (0.500, 0.500, 0.002), Co at (0.500, 0.000, 0.500) and Pt at (0.000, 0.500, 0.502).



[7]
A relaxed KSi3S crystal, computed with PBE.

Its offset from the most stable computed form is 1627 meV/atom. The density of states at the Fermi level comes out at 14.20 states/eV/cell. As for the uncorrected formation energy: 2344 meV/atom.

It has space group Pm-3m (No. 221), with a = 5.515 Å, b = 5.515 Å, c = 5.515 Å, α = 90.00°, β = 90.00° and γ = 90.00°. The asymmetric unit holds K at (0.000, 0.000, 0.000), Si at (0.000, 0.000, 0.500) and S at (0.500, 0.500, 0.500).



[8]
A relaxed RbTcAg2 crystal, computed with PBE.

Its offset from the most stable computed form is 0 meV/atom. The density of states at the Fermi level comes out at 18.96 states/eV/cell. For the calculated formation energy, the calculation gives 1069 meV/atom.

It has space group I4_1/amd (No. 141, origin choice 2), with a = 5.476 Å, b = 5.476 Å, c = 18.761 Å, α = 90.00°, β = 90.00° and γ = 90.00°. The asymmetric unit holds Rb at (0.000, 0.250, 0.375), Tc at (0.000, 0.250, 0.875) and Ag at (0.000, 0.000, 0.000).



no.,VASP energy (eV for the cell shown)
1,-56.94
2,-127.52
3,-59.15
4,-127.11
5,-33.59
6,-17.86
7,-9.77
8,-51.05